Entry 1:
# RbCu2Br4, relaxed, DFT GGA-PBE
data_RbCu2Br4
_chemical_formula_sum 'Rb1 Cu2 Br4'
_symmetry_space_group_name_H-M 'P 1'
_symmetry_Int_Tables_number 1
_cell_length_a 7.158
_cell_length_b 7.158
_cell_length_c 7.158
_cell_angle_alpha 98.84
_cell_angle_beta 98.84
_cell_angle_gamma 133.84
loop_
_symmetry_equiv_pos_as_xyz
'x,y,z'
loop_
_atom_site_label
_atom_site_type_symbol
_atom_site_fract_x
_atom_site_fract_y
_atom_site_fract_z
Rb1 Rb 0.000 0.000 0.000
Cu1 Cu 0.250 0.750 0.500
Cu2 Cu 0.750 0.250 0.500
Br1 Br 0.215 0.500 0.715
Br2 Br 0.500 0.215 0.715
Br3 Br 0.500 0.785 0.285
Br4 Br 0.785 0.500 0.285
# **ΔE to the lowest computed polymorph**: 0 meV/atom
# **E_form (uncorrected)**: -4.78 eV/f.u.
# **Symmetry**: I4/mmm

Entry 2:
# ZrGa7Co5, relaxed, DFT GGA-PBE
data_ZrGa7Co5
_chemical_formula_sum 'Zr1 Ga7 Co5'
_symmetry_space_group_name_H-M 'P 1'
_symmetry_Int_Tables_number 1
_cell_length_a 6.447
_cell_length_b 6.447
_cell_length_c 6.447
_cell_angle_alpha 133.67
_cell_angle_beta 97.93
_cell_angle_gamma 99.88
loop_
_symmetry_equiv_pos_as_xyz
'x,y,z'
loop_
_atom_site_label
_atom_site_type_symbol
_atom_site_fract_x
_atom_site_fract_y
_atom_site_fract_z
Zr1 Zr 0.000 0.000 0.000
Ga1 Ga 0.185 0.491 0.694
Ga2 Ga 0.235 0.735 0.500
Ga3 Ga 0.344 0.344 0.000
Ga4 Ga 0.358 0.021 0.337
Ga5 Ga 0.671 0.671 0.000
Ga6 Ga 0.685 0.021 0.663
Ga7 Ga 0.796 0.491 0.306
Co1 Co 0.012 0.511 0.016
Co2 Co 0.012 0.996 0.500
Co3 Co 0.495 0.511 0.500
Co4 Co 0.495 0.996 0.984
Co5 Co 0.770 0.270 0.500
# **Electronic total energy**: -5.337 eV per atom
# **Symmetry**: Imm2

Entry 3:
# Ca4Y3ErS8, relaxed, DFT GGA-PBE
data_Ca4Y3ErS8
_chemical_formula_sum 'Ca4 Y3 Er1 S8'
_symmetry_space_group_name_H-M 'P 1'
_symmetry_Int_Tables_number 1
_cell_length_a 7.968
_cell_length_b 7.968
_cell_length_c 7.968
_cell_angle_alpha 59.19
_cell_angle_beta 59.19
_cell_angle_gamma 59.19
loop_
_symmetry_equiv_pos_as_xyz
'x,y,z'
loop_
_atom_site_label
_atom_site_type_symbol
_atom_site_fract_x
_atom_site_fract_y
_atom_site_fract_z
Ca1 Ca 0.000 0.000 0.000
Ca2 Ca 0.000 0.500 0.500
Ca3 Ca 0.500 0.000 0.500
Ca4 Ca 0.500 0.500 0.000
Y1 Y 0.000 0.000 0.500
Y2 Y 0.000 0.500 0.000
Y3 Y 0.500 0.000 0.000
Er1 Er 0.500 0.500 0.500
S1 S 0.249 0.249 0.249
S2 S 0.251 0.747 0.747
S3 S 0.253 0.253 0.749
S4 S 0.253 0.749 0.253
S5 S 0.747 0.251 0.747
S6 S 0.747 0.747 0.251
S7 S 0.749 0.253 0.253
S8 S 0.751 0.751 0.751
# **E_form (uncorrected)**: -32.89 eV/f.u.
# **Symmetry**: R-3m

Entry 4:
# Tb5InSe4, relaxed, DFT GGA-PBE
data_Tb5InSe4
_chemical_formula_sum 'Tb5 In1 Se4'
_symmetry_space_group_name_H-M 'P 1'
_symmetry_Int_Tables_number 1
_cell_length_a 7.221
_cell_length_b 7.221
_cell_length_c 7.221
_cell_angle_alpha 99.55
_cell_angle_beta 99.55
_cell_angle_gamma 131.93
loop_
_symmetry_equiv_pos_as_xyz
'x,y,z'
loop_
_atom_site_label
_atom_site_type_symbol
_atom_site_fract_x
_atom_site_fract_y
_atom_site_fract_z
Tb1 Tb 0.000 0.000 0.000
Tb2 Tb 0.195 0.400 0.595
Tb3 Tb 0.400 0.805 0.205
Tb4 Tb 0.600 0.195 0.795
Tb5 Tb 0.805 0.600 0.405
In1 In 0.500 0.500 0.000
Se1 Se 0.101 0.699 0.801
Se2 Se 0.301 0.101 0.402
Se3 Se 0.699 0.899 0.598
Se4 Se 0.899 0.301 0.199
# **E_form (uncorrected)**: -15.06 eV/f.u.
# **Symmetry**: I4/m

Entry 5:
# Cu3Br, relaxed, DFT GGA-PBE
data_Cu3Br
_chemical_formula_sum 'Cu3 Br1'
_symmetry_space_group_name_H-M 'P 1'
_symmetry_Int_Tables_number 1
_cell_length_a 4.432
_cell_length_b 4.432
_cell_length_c 4.432
_cell_angle_alpha 60.00
_cell_angle_beta 60.00
_cell_angle_gamma 60.00
loop_
_symmetry_equiv_pos_as_xyz
'x,y,z'
loop_
_atom_site_label
_atom_site_type_symbol
_atom_site_fract_x
_atom_site_fract_y
_atom_site_fract_z
Cu1 Cu 0.000 0.000 0.000
Cu2 Cu 0.250 0.250 0.250
Cu3 Cu 0.750 0.750 0.750
Br1 Br 0.500 0.500 0.500
# **ΔE to the lowest computed polymorph**: 421 meV/atom
# **E_form (uncorrected)**: 2.09 eV/f.u.
# **Symmetry**: Fm-3m

Entry 6:
# TbPm3Tm3Se8, relaxed, DFT GGA-PBE
data_TbPm3Tm3Se8
_chemical_formula_sum 'Tb1 Pm3 Tm3 Se8'
_symmetry_space_group_name_H-M 'P 1'
_symmetry_Int_Tables_number 1
_cell_length_a 8.220
_cell_length_b 8.220
_cell_length_c 8.220
_cell_angle_alpha 59.49
_cell_angle_beta 59.49
_cell_angle_gamma 59.49
loop_
_symmetry_equiv_pos_as_xyz
'x,y,z'
loop_
_atom_site_label
_atom_site_type_symbol
_atom_site_fract_x
_atom_site_fract_y
_atom_site_fract_z
Tb1 Tb 0.000 0.000 0.000
Pm1 Pm 0.000 0.000 0.500
Pm2 Pm 0.000 0.500 0.000
Pm3 Pm 0.500 0.000 0.000
Tm1 Tm 0.000 0.500 0.500
Tm2 Tm 0.500 0.000 0.500
Tm3 Tm 0.500 0.500 0.000
Se1 Se 0.253 0.253 0.737
Se2 Se 0.253 0.737 0.253
Se3 Se 0.255 0.255 0.255
Se4 Se 0.263 0.747 0.747
Se5 Se 0.737 0.253 0.253
Se6 Se 0.745 0.745 0.745
Se7 Se 0.747 0.263 0.747
Se8 Se 0.747 0.747 0.263
# **E_form (uncorrected)**: -27.47 eV/f.u.
# **Symmetry**: R-3m

Entry 7:
# YBMo2I, relaxed, DFT GGA-PBE
data_YBMo2I
_chemical_formula_sum 'Y1 B1 Mo2 I1'
_symmetry_space_group_name_H-M 'P 1'
_symmetry_Int_Tables_number 1
_cell_length_a 5.374
_cell_length_b 5.374
_cell_length_c 5.753
_cell_angle_alpha 90.00
_cell_angle_beta 90.00
_cell_angle_gamma 90.00
loop_
_symmetry_equiv_pos_as_xyz
'x,y,z'
loop_
_atom_site_label
_atom_site_type_symbol
_atom_site_fract_x
_atom_site_fract_y
_atom_site_fract_z
Y1 Y 0.000 0.000 0.000
B1 B 0.500 0.500 0.500
Mo1 Mo 0.000 0.500 0.000
Mo2 Mo 0.500 0.000 0.000
I1 I 0.000 0.000 0.500
# **E_form (uncorrected)**: 13.73 eV/f.u.
# **Symmetry**: P4/mmm

Entry 8:
# YAg6, relaxed, DFT GGA-PBE
data_YAg6
_chemical_formula_sum 'Y4 Ag24'
_symmetry_space_group_name_H-M 'P 1'
_symmetry_Int_Tables_number 1
_cell_length_a 8.902
_cell_length_b 5.658
_cell_length_c 11.236
_cell_angle_alpha 90.00
_cell_angle_beta 90.00
_cell_angle_gamma 90.00
loop_
_symmetry_equiv_pos_as_xyz
'x,y,z'
loop_
_atom_site_label
_atom_site_type_symbol
_atom_site_fract_x
_atom_site_fract_y
_atom_site_fract_z
Y1 Y 0.243 0.250 0.069
Y2 Y 0.257 0.750 0.569
Y3 Y 0.743 0.250 0.431
Y4 Y 0.757 0.750 0.931
Ag1 Ag 0.061 0.009 0.308
Ag2 Ag 0.061 0.491 0.308
Ag3 Ag 0.064 0.750 0.083
Ag4 Ag 0.108 0.250 0.520
Ag5 Ag 0.148 0.750 0.848
Ag6 Ag 0.187 0.250 0.766
Ag7 Ag 0.313 0.750 0.266
Ag8 Ag 0.352 0.250 0.348
Ag9 Ag 0.392 0.750 0.020
Ag10 Ag 0.436 0.250 0.583
Ag11 Ag 0.439 0.509 0.808
Ag12 Ag 0.439 0.991 0.808
Ag13 Ag 0.561 0.009 0.192
Ag14 Ag 0.561 0.491 0.192
Ag15 Ag 0.564 0.750 0.417
Ag16 Ag 0.608 0.250 0.980
Ag17 Ag 0.648 0.750 0.652
Ag18 Ag 0.687 0.250 0.734
Ag19 Ag 0.813 0.750 0.234
Ag20 Ag 0.852 0.250 0.152
Ag21 Ag 0.892 0.750 0.480
Ag22 Ag 0.936 0.250 0.917
Ag23 Ag 0.939 0.509 0.692
Ag24 Ag 0.939 0.991 0.692
# **ΔE to the lowest computed polymorph**: 0 meV/atom
# **Symmetry**: Pnma